(1)
6
Lattice="0.000 3.509 3.509 3.509 0.000 3.509 3.509 3.509 0.000" Properties=species:S:1:pos:R:3 comment="Fe4CuBr (PBE, optimized geometry)" dos_at_fermi_per_ev_cell=5.3 magnetic_moment_mub_per_fu=10.88 total_energy_ev_per_atom=-5.954 pbc="T T T"
Fe 0.861 0.861 0.861
Fe 2.648 2.648 0.861
Fe 2.648 0.861 2.648
Fe 0.861 2.648 2.648
Cu 5.263 5.263 5.263
Br 3.509 3.509 3.509

(2)
4
Lattice="4.497 -1.754 0.000 4.497 1.754 0.000 -0.759 0.000 6.566" Properties=species:S:1:pos:R:3 comment="FeCuBr2 (PBE, optimized geometry)" dos_at_fermi_per_ev_cell=1.4 magnetic_moment_mub_per_fu=3.05 total_energy_ev_per_atom=-3.903 pbc="T T T"
Fe 0.000 0.000 0.000
Cu 5.614 0.000 6.326
Br 2.484 0.000 5.068
Br 4.899 0.000 1.769

| no. | formation energy from raw total energies (eV per atom) |
| --- | --- |
| 1 | 0.649 |
| 2 | 0.073 |